No. 1
## YErPt2 (GGA-PBE)

Data for crystalline YErPt2 at its relaxed geometry.

CIF file:
```
data_YErPt2
_space_group_name_H-M_alt 'R 3 m'
_space_group_IT_number 160
_space_group_name_Hall 'R 3 -2"'
_cell_length_a 4.0148
_cell_length_b 4.0148
_cell_length_c 20.5344
_cell_angle_alpha 90.00
_cell_angle_beta 90.00
_cell_angle_gamma 120.00
loop_
_atom_site_label
_atom_site_fract_x
_atom_site_fract_y
_atom_site_fract_z
Y1 0.0000 0.0000 0.0000
Er1 0.0000 0.0000 0.1721
Pt1 0.0000 0.0000 0.5859
Pt2 0.0000 0.0000 0.7530
```

Computed properties:
E_tot	-0.5048	Ry per atom
formation energy	-1.0905	eV per atom
magnetic moment	0.00	μB per formula unit
energy relative to the lowest polymorph listed for this composition	192	meV/atom

***

No. 2
## Y3ErPt12 (GGA-PBE)

Data for crystalline Y3ErPt12 at its relaxed geometry.

CIF file:
```
data_Y3ErPt12
_space_group_name_H-M_alt 'P 4/m m m'
_space_group_IT_number 123
_space_group_name_Hall '-P 4 2'
_cell_length_a 4.127
_cell_length_b 4.127
_cell_length_c 16.438
_cell_angle_alpha 90.00
_cell_angle_beta 90.00
_cell_angle_gamma 90.00
loop_
_atom_site_label
_atom_site_fract_x
_atom_site_fract_y
_atom_site_fract_z
Y1 0.000 0.000 0.000
Y2 0.000 0.000 0.251
Er1 0.000 0.000 0.500
Pt1 0.000 0.500 0.125
Pt2 0.000 0.500 0.377
Pt3 0.500 0.500 0.000
Pt4 0.500 0.500 0.251
Pt5 0.500 0.500 0.500
```

Computed properties:
E_tot	-0.5176	Ry per atom
formation energy	-1.0148	eV per atom
magnetic moment	0.00	μB per formula unit

***

No. 3
## Y5ErPt6 (GGA-PBE)

Data for crystalline Y5ErPt6 at its relaxed geometry.

CIF file:
```
data_Y5ErPt6
_space_group_name_H-M_alt 'C 1 2/m 1'
_space_group_IT_number 12
_space_group_name_Hall '-C 2y'
_cell_length_a 15.694
_cell_length_b 6.926
_cell_length_c 4.969
_cell_angle_alpha 90.00
_cell_angle_beta 108.40
_cell_angle_gamma 90.00
loop_
_atom_site_label
_atom_site_fract_x
_atom_site_fract_y
_atom_site_fract_z
Y1 0.000 0.000 0.000
Y2 0.167 0.000 0.667
Y3 0.167 0.500 0.667
Er1 0.000 0.500 0.000
Pt1 0.000 0.254 0.500
Pt2 0.165 0.252 0.165
```

Computed properties:
E_tot	-0.5370	Ry per atom
formation energy	-1.2122	eV per atom
magnetic moment	0.00	μB per formula unit

***

No. 4
## Y2Er2Pt15 (GGA-PBE)

Data for crystalline Y2Er2Pt15 at its relaxed geometry.

CIF file:
```
data_Y2Er2Pt15
_space_group_name_H-M_alt 'R -3 m'
_space_group_IT_number 166
_space_group_name_Hall '-R 3 2"'
_cell_length_a 9.3042
_cell_length_b 9.3042
_cell_length_c 13.8634
_cell_angle_alpha 90.00
_cell_angle_beta 90.00
_cell_angle_gamma 120.00
loop_
_atom_site_label
_atom_site_fract_x
_atom_site_fract_y
_atom_site_fract_z
Y1 0.0000 0.0000 0.1380
Er1 0.0000 0.0000 0.3931
Pt1 0.0000 0.3134 0.5000
Pt2 0.0000 0.5000 0.0000
Pt3 0.0056 0.5028 0.6555
```

Computed properties:
E_tot	-0.4887	Ry per atom
formation energy	-0.7189	eV per atom
magnetic moment	0.00	μB per formula unit